No. 1
Crystalline K2YTmO4 at its relaxed geometry. Source: Alexandria via LeMat-Bulk, functional PBE.

## Properties
The magnetization comes out at 0.00 μB per atom. As for the space group: P2/m (10).

Cell lengths 3.4553, 5.9862, 6.5633 Å; angles 107.69, 90.00, 90.00 degrees
With the nearest neighbours (Å) after each atom.
Sites, in units of the cell vectors:
O (0.5000, 0.2238, 0.1838)  2 Tm 2.29, 1 Y 2.32
K (0.5000, 0.0000, 0.5000)  6 O 2.79
O (0.5000, 0.7762, 0.8162)  2 Tm 2.29, 1 Y 2.32
Tm (0.0000, 0.0000, 0.0000)  6 O 2.28-2.29
O (0.0000, 0.2675, 0.8150)  1 Tm 2.28, 2 Y 2.32
O (0.0000, 0.7325, 0.1850)  1 Tm 2.28, 2 Y 2.32
K (0.0000, 0.5000, 0.5000)  6 O 2.82
Y (0.5000, 0.5000, 0.0000)  6 O 2.32

---

No. 2
Crystalline K3Y2TmO6 at its relaxed geometry. Source: Alexandria via LeMat-Bulk, functional PBE.

## Properties
The magnetization comes out at 0.00 μB per atom. As for the space group: C2/m (12).

Cell lengths 6.0055, 6.0055, 6.5700 Å; angles 98.77, 98.77, 120.00 degrees
With the nearest neighbours (Å) after each atom.
Sites, in units of the cell vectors:
O (0.0617, 0.3903, 0.1850)  1 Tm 2.29, 2 Y 2.32-2.33
Y (0.6667, 0.3333, 0.0000)  6 O 2.32-2.33
O (0.9383, 0.6097, 0.8150)  1 Tm 2.29, 2 Y 2.32-2.33
O (0.7331, 0.7331, 0.1849)  1 Tm 2.29, 2 Y 2.32
Y (0.3333, 0.6667, 0.0000)  6 O 2.32-2.33
O (0.6097, 0.9383, 0.8150)  1 Tm 2.29, 2 Y 2.32-2.33
Tm (0.0000, 0.0000, 0.0000)  6 O 2.29
K (0.5000, 0.5000, 0.5000)  6 O 2.80-2.83
K (0.8338, 0.1662, 0.5000)  6 O 2.80-2.83
O (0.3903, 0.0617, 0.1850)  1 Tm 2.29, 2 Y 2.32-2.33
O (0.2669, 0.2669, 0.8151)  1 Tm 2.29, 2 Y 2.32
K (0.1662, 0.8338, 0.5000)  6 O 2.80-2.83

---

No. 3
Crystalline K2TmZn2O4 at its relaxed geometry. Source: Alexandria via LeMat-Bulk, functional PBE.

## Properties
The magnetization comes out at 0.00 μB per atom. As for the space group: C2/m (12).

Cell lengths 3.3350, 7.3091, 6.6152 Å; angles 106.48, 90.00, 103.19 degrees
With the nearest neighbours (Å) after each atom.
Sites, in units of the cell vectors:
Zn (0.6817, 0.3634, 0.0424)  3 O 2.02-2.07
Zn (0.3183, 0.6365, 0.9576)  3 O 2.02-2.07
O (0.4543, 0.9086, 0.1820)  1 Zn 2.07, 2 Tm 2.26
K (0.1237, 0.2474, 0.5604)  3 O 2.61-2.83
K (0.8763, 0.7526, 0.4396)  3 O 2.61-2.83
Tm (0.0000, 0.0000, 0.0000)  6 O 2.26-2.31
O (0.8372, 0.6743, 0.8012)  2 Zn 2.02
O (0.5457, 0.0914, 0.8180)  1 Zn 2.07, 2 Tm 2.26
O (0.1628, 0.3257, 0.1988)  2 Zn 2.02

---

No. 4
Crystalline KTmZnO3 at its relaxed geometry. Source: Alexandria via LeMat-Bulk, functional PBE.

## Properties
The magnetization comes out at 0.00 μB per atom. As for the space group: P2_1/m (11).

Cell lengths 3.4722, 7.2574, 9.4817 Å; angles 113.13, 90.00, 90.00 degrees
With the nearest neighbours (Å) after each atom.
Sites, in units of the cell vectors:
O (0.7500, 0.8988, 0.1618)  1 Zn 1.95
Zn (0.2500, 0.0298, 0.6170)  4 O 1.95-2.07
Tm (0.7500, 0.3258, 0.8584)  6 O 2.21-2.34
O (0.2500, 0.8279, 0.4041)  3 Zn 1.97-2.07
O (0.7500, 0.4653, 0.1118)  3 Tm 2.21-2.25
Zn (0.7500, 0.9702, 0.3830)  4 O 1.95-2.07
O (0.2500, 0.5347, 0.8882)  3 Tm 2.21-2.25
Tm (0.2500, 0.6742, 0.1416)  6 O 2.21-2.34
K (0.2500, 0.2063, 0.1704)  5 O 2.77-2.94
O (0.2500, 0.1012, 0.8382)  1 Zn 1.95
K (0.7500, 0.7937, 0.8296)  5 O 2.77-2.94
O (0.7500, 0.1721, 0.5959)  3 Zn 1.97-2.07

---

No. 5
Crystalline KTm2Zr2O7 at its relaxed geometry. Source: Alexandria via LeMat-Bulk, functional PBE.

## Properties
The magnetization comes out at 0.00 μB per atom. As for the space group: Immm (71).

Cell lengths 4.3158, 4.4661, 9.6869 Å; angles 103.33, 102.87, 90.00 degrees
With the nearest neighbours (Å) after each atom.
Sites, in units of the cell vectors:
Zr (0.6100, 0.6100, 0.2199)  5 O 2.02-2.24
O (0.1310, 0.6310, 0.2621)  2 Zr 2.19, 1 Tm 2.34
O (0.6205, 0.1205, 0.2411)  1 Tm 2.22, 2 Zr 2.24
O (0.8690, 0.3689, 0.7379)  2 Zr 2.19, 1 Tm 2.34
K (0.0000, 0.0002, 0.0000)  12 O 3.09-3.28
Tm (0.2585, 0.7584, 0.5170)  6 O 2.20-2.34
Tm (0.7415, 0.2415, 0.4830)  6 O 2.20-2.34
O (0.2655, 0.2654, 0.5310)  4 Tm 2.20-2.24, 1 Zr 2.29
Zr (0.3900, 0.3900, 0.7801)  5 O 2.02-2.24
O (0.3795, 0.8794, 0.7589)  1 Tm 2.22, 2 Zr 2.24
O (0.7345, 0.7345, 0.4690)  4 Tm 2.20-2.24, 1 Zr 2.29
O (0.5000, 0.5000, 0.0000)  2 Zr 2.02

---

No. 6
Crystalline KUO3 at its relaxed geometry. Source: Alexandria via LeMat-Bulk, functional PBE.

## Properties
The magnetization comes out at 0.20 μB per atom. As for the space group: Pm-3m (221).

Cell lengths 4.3303, 4.3303, 4.3303 Å; angles 90.00, 90.00, 90.00 degrees
With the nearest neighbours (Å) after each atom.
Sites, in units of the cell vectors:
O (0.5000, 0.0000, 0.0000)  2 U 2.17
O (0.0000, 0.5000, 0.0000)  2 U 2.17
O (0.0000, 0.0000, 0.5000)  2 U 2.17
U (0.0000, 0.0000, 0.0000)  6 O 2.17
K (0.5000, 0.5000, 0.5000)  12 O 3.06

---

No. 7
Crystalline KU4O10 at its relaxed geometry. Source: Alexandria via LeMat-Bulk, functional PBE.

## Properties
The magnetization comes out at 0.33 μB per atom. As for the space group: I4/mmm (139).

Cell lengths 3.7916, 3.7916, 14.6922 Å; angles 97.41, 97.41, 90.00 degrees
With the nearest neighbours (Å) after each atom.
Sites, in units of the cell vectors:
O (0.0691, 0.5691, 0.1381)  2 U 2.14
O (0.1584, 0.6584, 0.3168)  4 U 2.27-2.47
U (0.6035, 0.6035, 0.2070)  4 O 2.14
O (0.4309, 0.9309, 0.8619)  2 U 2.14
U (0.7981, 0.7981, 0.5962)  8 O 2.27-2.35
O (0.3416, 0.8416, 0.6832)  4 U 2.27-2.47
O (0.6584, 0.1584, 0.3168)  4 U 2.27-2.47
O (0.7500, 0.2500, 0.5000)  4 U 2.35
O (0.8416, 0.3416, 0.6832)  4 U 2.27-2.47
O (0.2500, 0.7500, 0.5000)  4 U 2.35
O (0.5691, 0.0691, 0.1381)  2 U 2.14
K (0.0000, 0.0000, 0.0000)  8 O 2.75
O (0.9309, 0.4309, 0.8619)  2 U 2.14
U (0.2019, 0.2019, 0.4038)  8 O 2.27-2.35
U (0.3965, 0.3965, 0.7930)  4 O 2.14

---

No. 8
Crystalline K3U5O12 at its relaxed geometry. Source: Alexandria via LeMat-Bulk, functional PBE.

## Properties
The magnetization comes out at 0.45 μB per atom. As for the space group: Ia-3d (230).

Cell lengths 12.4425, 12.4425, 12.4425 Å; angles 109.47, 109.47, 109.47 degrees
With the nearest neighbours (Å) after each atom.
Sites, in units of the cell vectors:
O (0.6012, 0.9907, 0.6747)  2 U 2.12-2.18
K (0.6250, 0.2500, 0.3750)  8 O 2.80-3.04
O (0.8253, 0.8988, 0.0093)  2 U 2.12-2.18
O (0.8160, 0.4907, 0.3896)  2 U 2.12-2.18
O (0.8253, 0.9265, 0.3160)  2 U 2.12-2.18
U (0.6250, 0.8750, 0.2500)  4 O 2.12
O (0.3896, 0.3988, 0.0735)  2 U 2.12-2.18
O (0.6747, 0.4907, 0.6012)  2 U 2.12-2.18
K (0.8750, 0.1250, 0.2500)  8 O 2.80-3.04
U (0.0000, 0.5000, 0.0000)  6 O 2.18
O (0.4907, 0.6747, 0.1012)  2 U 2.12-2.18
K (0.1250, 0.2500, 0.8750)  8 O 2.80-3.04
U (0.7500, 0.6250, 0.3750)  4 O 2.12
O (0.0735, 0.8988, 0.3896)  2 U 2.12-2.18
U (0.3750, 0.2500, 0.1250)  4 O 2.12
K (0.8750, 0.7500, 0.1250)  8 O 2.80-3.04
U (0.2500, 0.3750, 0.6250)  4 O 2.12
O (0.1104, 0.6840, 0.5093)  2 U 2.12-2.18
K (0.6250, 0.3750, 0.7500)  8 O 2.80-3.04
O (0.6747, 0.1840, 0.5735)  2 U 2.12-2.18
O (0.1747, 0.1012, 0.9907)  2 U 2.12-2.18
O (0.3988, 0.3896, 0.5735)  2 U 2.12-2.18
U (0.1250, 0.7500, 0.3750)  4 O 2.12
O (0.1012, 0.1747, 0.4907)  2 U 2.12-2.18
O (0.1840, 0.5093, 0.6104)  2 U 2.12-2.18
K (0.7500, 0.3750, 0.1250)  8 O 2.80-3.04
O (0.8988, 0.8253, 0.5093)  2 U 2.12-2.18
O (0.9265, 0.1012, 0.6104)  2 U 2.12-2.18
O (0.6840, 0.5735, 0.1747)  2 U 2.12-2.18
K (0.2500, 0.1250, 0.3750)  8 O 2.80-3.04
O (0.5093, 0.1840, 0.1104)  2 U 2.12-2.18
U (0.2500, 0.8750, 0.1250)  4 O 2.12
O (0.1104, 0.4265, 0.1012)  2 U 2.12-2.18
U (0.5000, 0.0000, 0.0000)  6 O 2.18
O (0.9907, 0.6012, 0.1747)  2 U 2.12-2.18
O (0.5735, 0.8896, 0.3988)  2 U 2.12-2.18
O (0.6104, 0.0093, 0.1840)  2 U 2.12-2.18
O (0.1012, 0.9265, 0.1104)  2 U 2.12-2.18
U (0.5000, 0.0000, 0.5000)  6 O 2.18
O (0.3896, 0.9907, 0.8160)  2 U 2.12-2.18
U (0.5000, 0.5000, 0.0000)  6 O 2.18
O (0.0735, 0.1747, 0.1840)  2 U 2.12-2.18
O (0.8896, 0.5735, 0.8988)  2 U 2.12-2.18
U (0.0000, 0.0000, 0.0000)  6 O 2.18
O (0.4907, 0.8160, 0.8896)  2 U 2.12-2.18
O (0.1747, 0.0735, 0.6840)  2 U 2.12-2.18
K (0.3750, 0.7500, 0.6250)  8 O 2.80-3.04
O (0.8988, 0.0735, 0.8896)  2 U 2.12-2.18
O (0.8896, 0.3160, 0.4907)  2 U 2.12-2.18
O (0.6840, 0.1104, 0.0093)  2 U 2.12-2.18
O (0.0093, 0.6104, 0.6840)  2 U 2.12-2.18
U (0.6250, 0.7500, 0.8750)  4 O 2.12
K (0.7500, 0.8750, 0.6250)  8 O 2.80-3.04
K (0.1250, 0.8750, 0.7500)  8 O 2.80-3.04
U (0.5000, 0.5000, 0.5000)  6 O 2.18
O (0.4265, 0.1104, 0.6012)  2 U 2.12-2.18
O (0.0093, 0.3988, 0.8253)  2 U 2.12-2.18
K (0.3750, 0.6250, 0.2500)  8 O 2.80-3.04
O (0.1840, 0.6747, 0.0735)  2 U 2.12-2.18
O (0.4265, 0.3160, 0.3253)  2 U 2.12-2.18
U (0.8750, 0.2500, 0.6250)  4 O 2.12
U (0.7500, 0.1250, 0.8750)  4 O 2.12
U (0.8750, 0.6250, 0.7500)  4 O 2.12
O (0.5735, 0.6840, 0.6747)  2 U 2.12-2.18
O (0.8160, 0.3253, 0.9265)  2 U 2.12-2.18
O (0.3253, 0.5093, 0.3988)  2 U 2.12-2.18
O (0.5093, 0.3253, 0.8988)  2 U 2.12-2.18
U (0.0000, 0.0000, 0.5000)  6 O 2.18
U (0.0000, 0.5000, 0.5000)  6 O 2.18
O (0.9265, 0.8253, 0.8160)  2 U 2.12-2.18
O (0.3253, 0.8160, 0.4265)  2 U 2.12-2.18
O (0.3160, 0.4265, 0.8253)  2 U 2.12-2.18
U (0.1250, 0.3750, 0.2500)  4 O 2.12
O (0.3160, 0.8896, 0.9907)  2 U 2.12-2.18
O (0.9907, 0.3896, 0.3160)  2 U 2.12-2.18
O (0.6104, 0.6012, 0.9265)  2 U 2.12-2.18
O (0.3988, 0.0093, 0.3253)  2 U 2.12-2.18
K (0.2500, 0.6250, 0.8750)  8 O 2.80-3.04
O (0.6012, 0.6104, 0.4265)  2 U 2.12-2.18
U (0.3750, 0.1250, 0.7500)  4 O 2.12

---

No. 9
Crystalline K2U2O7 at its relaxed geometry. Source: Alexandria via LeMat-Bulk, functional PBE.

## Properties
The magnetization comes out at 0.00 μB per atom. The energy relative to the lowest polymorph listed for this composition is 78 meV per atom. As for the space group: Cmc2_1 (36).

Cell lengths 4.2827, 6.0838, 15.1264 Å; angles 90.00, 98.14, 90.00 degrees
With the nearest neighbours (Å) after each atom.
Sites, in units of the cell vectors:
O (0.8020, 0.7922, 0.6041)  1 U 1.92
O (0.0002, 0.7711, 0.0003)  2 U 2.16
K (0.5534, 0.5224, 0.1068)  12 O 2.81-3.08
O (0.9045, 0.7702, 0.8091)  1 U 2.01
U (0.1540, 0.5217, 0.3079)  2 O 1.92
U (0.8460, 0.0217, 0.6921)  2 O 1.92
O (0.0955, 0.2702, 0.1909)  1 U 2.01
K (0.2826, 0.5209, 0.5653)  6 O 2.76-2.89
O (0.3528, 0.0221, 0.7055)  2 U 2.15
U (0.9488, 0.5221, 0.8976)  6 O 2.01-2.16
O (0.9998, 0.2711, 0.9997)  2 U 2.16
U (0.0512, 0.0221, 0.1024)  6 O 2.01-2.16
K (0.7174, 0.0209, 0.4347)  6 O 2.76-2.89
O (0.1980, 0.2922, 0.3959)  1 U 1.92
K (0.4466, 0.0224, 0.8932)  12 O 2.81-3.08
O (0.6472, 0.5221, 0.2945)  2 U 2.15
O (0.0958, 0.7757, 0.1915)  1 U 2.01
O (0.9042, 0.2757, 0.8085)  1 U 2.01
O (0.4529, 0.5220, 0.9059)  2 U 2.14
O (0.1983, 0.7495, 0.3967)  1 U 1.92
O (0.8017, 0.2495, 0.6033)  1 U 1.92
O (0.5471, 0.0220, 0.0941)  2 U 2.14

---

No. 10
Crystalline K2UO4 at its relaxed geometry. Source: Alexandria via LeMat-Bulk, functional PBE.

## Properties
The magnetization comes out at 0.00 μB per atom. As for the space group: I4/mmm (139).

Cell lengths 7.3944, 7.3944, 7.3944 Å; angles 145.70, 145.70, 49.29 degrees
With the nearest neighbours (Å) after each atom.
Sites, in units of the cell vectors:
O (0.8548, 0.8548, 0.0000)  1 U 1.95
K (0.6523, 0.6523, 0.0000)  5 O 2.72-2.99
U (0.0000, 0.0000, 0.0000)  6 O 1.95-2.18
O (0.0000, 0.5000, 0.5000)  2 U 2.18
O (0.1452, 0.1452, 0.0000)  1 U 1.95
K (0.3477, 0.3477, 0.0000)  5 O 2.72-2.99
O (0.5000, 0.0000, 0.5000)  2 U 2.18

---

No. 11
Crystalline K3UO4 at its relaxed geometry. Source: Alexandria via LeMat-Bulk, functional PBE.

## Properties
The magnetization comes out at 0.13 μB per atom. As for the space group: Cmmm (65).

Cell lengths 3.6096, 6.6480, 6.6480 Å; angles 112.51, 90.00, 90.00 degrees
With the nearest neighbours (Å) after each atom.
Sites, in units of the cell vectors:
U (0.5000, 0.0000, 0.0000)  2 O 2.01
K (0.0000, 0.5000, 0.0000)  6 O 2.69-2.79
O (0.5000, 0.8180, 0.1820)  1 U 2.01
O (0.0000, 0.1980, 0.1980)  2 U 2.32
K (0.5000, 0.5000, 0.5000)  4 O 2.87
O (0.0000, 0.8020, 0.8020)  2 U 2.32
K (0.0000, 0.0000, 0.5000)  6 O 2.69-2.79
O (0.5000, 0.1820, 0.8180)  1 U 2.01

---

No. 12
Crystalline K2UO4 at its relaxed geometry. Source: Alexandria via LeMat-Bulk, functional PBE.

## Properties
The magnetization comes out at 0.00 μB per atom. As for the space group: P2_1/m (11).

Cell lengths 7.0445, 5.8882, 7.0286 Å; angles 90.00, 115.96, 90.00 degrees
With the nearest neighbours (Å) after each atom.
Sites, in units of the cell vectors:
U (0.6392, 0.2500, 0.6387)  6 O 1.97-2.21
O (0.0546, 0.7500, 0.2808)  1 U 1.98
K (0.0165, 0.7500, 0.6482)  2 O 2.64-2.71
U (0.3608, 0.7500, 0.3613)  6 O 1.97-2.21
K (0.6481, 0.7500, 0.0184)  2 O 2.64-2.71
O (0.7198, 0.2500, 0.9454)  1 U 1.97
O (0.6065, 0.9999, 0.3933)  2 U 2.20-2.21
O (0.3935, 0.0001, 0.6067)  2 U 2.20-2.21
O (0.3935, 0.4999, 0.6067)  2 U 2.20-2.21
O (0.9454, 0.2500, 0.7192)  1 U 1.98
K (0.9835, 0.2500, 0.3518)  2 O 2.64-2.71
O (0.2802, 0.7500, 0.0546)  1 U 1.97
O (0.6065, 0.5001, 0.3933)  2 U 2.20-2.21
K (0.3519, 0.2500, 0.9816)  2 O 2.64-2.71

---

Number 1: volume 129.3 Å³/cell, E_tot -6.90 eV per atom, formation energy without anion corrections -2.782 eV per atom. Number 2: volume 195.4 Å³/cell, E_tot -6.97 eV per atom, formation energy without anion corrections -2.770 eV per atom. Number 3: volume 150.2 Å³/cell, E_tot -5.02 eV per atom, formation energy without anion corrections -1.794 eV per atom. Number 4: volume 219.7 Å³/cell, E_tot -5.89 eV per atom, formation energy without anion corrections -2.270 eV per atom. Number 5: volume 176.9 Å³/cell, E_tot -8.19 eV per atom, formation energy without anion corrections -3.041 eV per atom. Number 6: volume 81.2 Å³/cell, E_tot -8.37 eV per atom, formation energy without anion corrections -2.914 eV per atom. Number 7: volume 207.7 Å³/cell, E_tot -9.46 eV per atom, formation energy without anion corrections -3.074 eV per atom. Number 8: volume 1482.9 Å³/cell, E_tot -8.73 eV per atom, formation energy without anion corrections -2.764 eV per atom. Number 9: volume 390.2 Å³/cell, E_tot -8.21 eV per atom, formation energy without anion corrections -2.806 eV per atom. Number 10: volume 127.8 Å³/cell, E_tot -7.43 eV per atom, formation energy without anion corrections -2.669 eV per atom. Number 11: volume 147.4 Å³/cell, E_tot -6.63 eV per atom, formation energy without anion corrections -2.331 eV per atom. Number 12: volume 262.1 Å³/cell, E_tot -7.24 eV per atom, formation energy without anion corrections -2.484 eV per atom.